This record from the Open Quantum Materials Database describes crystalline NaYNiTe3 at its relaxed geometry. The functional is PBE.

Unit cell a=9.0487 b=9.0487 c=8.9250 alpha=104.82 beta=104.82 gamma=28.08
Element x y z (fractional)
1 Te 0.0000 0.0000 0.0000
2 Te 0.6583 0.6583 0.3224
3 Te 0.5000 0.5000 0.5000
4 Te 0.3417 0.3417 0.6776
5 Y 0.1749 0.1749 0.0987
6 Na 0.1351 0.1351 0.5670
7 Te 0.3534 0.3534 0.1567
8 Ni 0.5066 0.5066 0.1796
9 Na 0.8649 0.8649 0.4330
10 Y 0.8251 0.8251 0.9013
11 Ni 0.4934 0.4934 0.8204
12 Te 0.6466 0.6466 0.8433

## Properties
- Distance to the lowest polymorph of the same formula: 124.3 meV/atom
- Size of the total moment: 0.0 Bohr magnetons per cell
- Space group: C2/m